[1]
11
Lattice="5.547 0.000 0.000 -2.773 4.804 0.000 0.000 0.000 7.745" Properties=species:S:1:pos:R:3 comment="Ta8Nb2Rh PBE-GGA optimized geometry" m_tot_mub_per_atom=0.000 mass_density_g_cm3=14.0 sg="P-3m1, No. 164" ef_mev_per_atom=145 relative_energy_mev_per_atom=0 pbc="T T T"
Ta 0.000 1.595 2.159
Ta -1.392 4.006 2.159
Ta 1.382 0.798 5.586
Ta 0.000 3.203 7.291
Ta 2.773 1.601 0.454
Ta 1.392 4.006 2.159
Ta 4.165 0.798 5.586
Ta 2.773 3.208 5.586
Nb 0.000 3.203 4.426
Nb 2.773 1.601 3.320
Rh 0.000 0.000 0.000

---

[2]
18
Lattice="7.696 0.000 0.000 0.000 8.420 0.000 -6.903 0.000 11.417" Properties=species:S:1:pos:R:3 comment="ZrGa2I6 PBE-GGA optimized geometry" m_tot_mub_per_atom=0.000 mass_density_g_cm3=4.5 sg="P2_1/c, No. 14" formation_energy_uncorrected_ev_per_atom=-0.67 pbc="T T T"
Zr 0.000 0.000 0.000
Zr -3.451 4.210 5.708
Ga -3.037 1.002 9.293
Ga 0.414 3.208 3.585
Ga 0.379 5.212 7.832
Ga 3.831 7.418 2.124
I -0.936 0.352 2.702
I -4.387 3.858 8.411
I 1.316 5.989 0.786
I -2.135 6.641 6.495
I 2.401 1.519 0.619
I -1.051 2.691 6.327
I 1.844 5.728 5.090
I -1.607 6.901 10.798
I 2.929 1.779 4.922
I -0.523 2.431 10.631
I 5.180 4.562 3.006
I 1.729 8.067 8.715

---

[3]
5
Lattice="4.794 0.000 0.000 0.000 4.794 0.000 0.000 0.000 4.794" Properties=species:S:1:pos:R:3 comment="TcCl4 PBE-GGA optimized geometry" m_tot_mub_per_atom=0.373 mass_density_g_cm3=3.6 sg="Pm-3m, No. 221" relative_energy_mev_per_atom=602 formation_energy_uncorrected_ev_per_atom=-0.07 pbc="T T T"
Tc 0.000 0.000 0.000
Cl 0.000 0.000 2.397
Cl 0.000 2.397 0.000
Cl 2.397 0.000 0.000
Cl 2.397 2.397 2.397

---

[4]
6
Lattice="0.000 4.273 4.273 4.273 0.000 4.273 4.273 4.273 0.000" Properties=species:S:1:pos:R:3 comment="Y4ZnTc PBE-GGA optimized geometry" m_tot_mub_per_atom=0.175 mass_density_g_cm3=5.5 sg="F-43m, No. 216" ef_mev_per_atom=837 relative_energy_mev_per_atom=1001 pbc="T T T"
Y 3.214 3.214 3.214
Y 5.331 5.331 3.214
Y 5.331 3.214 5.331
Y 3.214 5.331 5.331
Zn 0.000 0.000 0.000
Tc 6.409 6.409 6.409

---

[5]
8
Lattice="2.705 1.562 8.880 -2.705 1.562 8.880 0.000 -3.124 8.880" Properties=species:S:1:pos:R:3 comment="Tb2PrTmTl4 PBE-GGA optimized geometry" m_tot_mub_per_atom=0.000 mass_density_g_cm3=10.7 sg="R-3m, No. 166" ef_mev_per_atom=-342 pbc="T T T"
Tb 0.000 0.000 6.633
Tb 0.000 0.000 20.007
Pr 0.000 0.000 0.000
Tm 0.000 0.000 13.320
Tl 0.000 0.000 3.384
Tl 0.000 0.000 10.053
Tl 0.000 0.000 16.587
Tl 0.000 0.000 23.256

---

[6]
8
Lattice="7.629 0.000 0.000 0.000 4.374 0.000 -2.495 0.000 7.254" Properties=species:S:1:pos:R:3 comment="CaNdEr2Te4 PBE-GGA optimized geometry" m_tot_mub_per_atom=0.000 mass_density_g_cm3=7.1 sg="P2/m, No. 10" formation_energy_uncorrected_ev_per_atom=-1.37 pbc="T T T"
Ca 0.000 0.000 0.000
Nd -1.248 2.187 3.627
Er 2.567 0.000 3.627
Er 3.815 2.187 0.000
Te 1.360 2.187 1.815
Te 0.107 0.000 5.496
Te 5.027 0.000 1.758
Te 3.774 2.187 5.440

---

[7]
16
Lattice="10.049 0.000 0.000 0.000 10.049 0.000 0.000 0.000 3.963" Properties=species:S:1:pos:R:3 comment="YN PBE-GGA optimized geometry" m_tot_mub_per_atom=0.000 mass_density_g_cm3=3.4 sg="P4/m, No. 83" formation_energy_uncorrected_ev_per_atom=-1.33 pbc="T T T"
Y 1.116 3.779 0.000
Y 2.274 6.168 1.982
Y 3.779 8.933 0.000
Y 3.881 2.274 1.982
Y 6.168 7.775 1.982
Y 6.270 1.116 0.000
Y 7.775 3.881 1.982
Y 8.933 6.270 0.000
N 1.155 6.113 0.000
N 2.243 3.862 1.982
N 3.862 7.806 1.982
N 3.936 1.155 0.000
N 6.113 8.894 0.000
N 6.187 2.243 1.982
N 7.806 6.187 1.982
N 8.894 3.936 0.000

---

[8]
8
Lattice="2.778 1.604 9.092 -2.778 1.604 9.092 0.000 -3.207 9.092" Properties=species:S:1:pos:R:3 comment="AcPm2PrIn4 PBE-GGA optimized geometry" m_tot_mub_per_atom=0.000 mass_density_g_cm3=7.6 sg="R-3m, No. 166" ef_mev_per_atom=-457 pbc="T T T"
Ac 0.000 0.000 0.000
Pm 0.000 0.000 6.818
Pm 0.000 0.000 20.457
Pr 0.000 0.000 13.638
In 0.000 0.000 3.466
In 0.000 0.000 10.292
In 0.000 0.000 16.983
In 0.000 0.000 23.809

---

[9]
6
Lattice="3.700 0.000 0.000 -0.281 5.826 0.000 -1.768 -0.905 6.122" Properties=species:S:1:pos:R:3 comment="InHgB PBE-GGA optimized geometry" m_tot_mub_per_atom=0.000 mass_density_g_cm3=8.2 sg="P1, No. 1" ef_mev_per_atom=457 pbc="T T T"
In 0.000 0.000 0.000
In -0.070 -0.122 3.536
Hg 1.673 2.850 1.772
Hg 0.806 2.392 4.836
B 1.804 0.705 1.677
B 1.544 4.995 1.864

---

[10]
8
Lattice="-3.305 3.305 7.496 3.305 -3.305 7.496 3.305 3.305 -7.496" Properties=species:S:1:pos:R:3 comment="RbIn2AgTe4 PBE-GGA optimized geometry" m_tot_mub_per_atom=0.000 mass_density_g_cm3=4.7 sg="I-42m, No. 121" formation_energy_uncorrected_ev_per_atom=-0.36 pbc="T T T"
Rb 0.000 0.000 0.000
In 3.305 0.000 3.748
In 0.000 3.305 3.748
Ag 0.000 0.000 7.496
Te 1.889 1.889 -2.109
Te 1.416 -1.416 9.605
Te 1.416 1.416 5.388
Te -1.416 1.416 9.605

---

[11]
5
Lattice="6.562 0.000 0.000 0.000 6.562 0.000 0.000 0.000 4.340" Properties=species:S:1:pos:R:3 comment="BaNiTe2N PBE-GGA optimized geometry" m_tot_mub_per_atom=0.454 mass_density_g_cm3=4.1 sg="P4/mmm, No. 123" relative_energy_mev_per_atom=1638 formation_energy_uncorrected_ev_per_atom=1.49 pbc="T T T"
Ba 0.000 0.000 0.000
Ni 3.281 3.281 2.170
Te 0.000 3.281 0.000
Te 3.281 0.000 0.000
N 0.000 0.000 2.170

---

[12]
6
Lattice="0.000 3.347 3.347 3.347 0.000 3.347 3.347 3.347 0.000" Properties=species:S:1:pos:R:3 comment="Mn4NbRu PBE-GGA optimized geometry" m_tot_mub_per_atom=0.000 mass_density_g_cm3=9.2 sg="F-43m, No. 216" ef_mev_per_atom=-79 pbc="T T T"
Mn 0.834 0.834 0.834
Mn 2.513 2.513 0.834
Mn 2.513 0.834 2.513
Mn 0.834 2.513 2.513
Nb 5.020 5.020 5.020
Ru 3.347 3.347 3.347

---

[13]
6
Lattice="2.790 -8.666 0.000 2.790 8.666 0.000 0.000 0.000 5.714" Properties=species:S:1:pos:R:3 comment="K5As PBE-GGA optimized geometry" m_tot_mub_per_atom=0.000 mass_density_g_cm3=1.6 sg="Cmmm, No. 65" ef_mev_per_atom=-99 relative_energy_mev_per_atom=21 pbc="T T T"
K 0.000 0.000 0.000
K 2.790 6.364 2.857
K 2.790 2.417 0.000
K 2.790 -2.417 0.000
K 2.790 -6.364 2.857
As 2.790 0.000 2.857

---

[14]
12
Lattice="8.517 0.000 0.000 0.000 3.849 0.000 -0.805 0.000 8.779" Properties=species:S:1:pos:R:3 comment="LiSmSnS3 PBE-GGA optimized geometry" m_tot_mub_per_atom=0.000 mass_density_g_cm3=4.3 sg="P2_1/m, No. 11" formation_energy_uncorrected_ev_per_atom=-1.29 pbc="T T T"
Li 0.837 0.962 0.722
Li 6.875 2.886 8.057
Sm 0.707 0.962 6.184
Sm 7.005 2.886 2.595
Sn 2.762 2.886 2.890
Sn 4.950 0.962 5.888
S 0.617 0.962 3.235
S 0.791 2.886 8.245
S 2.745 2.886 5.481
S 4.968 0.962 3.298
S 6.921 0.962 0.533
S 7.095 2.886 5.543

---

[15]
12
Lattice="5.635 -6.213 0.000 5.635 6.213 0.000 -3.465 0.000 5.391" Properties=species:S:1:pos:R:3 comment="Sn4BiPb PBE-GGA optimized geometry" m_tot_mub_per_atom=0.000 mass_density_g_cm3=7.8 sg="C2/m, No. 12" ef_mev_per_atom=117 relative_energy_mev_per_atom=0 pbc="T T T"
Sn -0.368 1.589 4.951
Sn 5.635 3.485 0.000
Sn -0.368 -1.589 4.951
Sn 2.351 0.000 3.815
Sn 5.453 0.000 1.576
Sn 8.172 1.589 0.440
Sn 5.635 -3.485 0.000
Sn 8.172 -1.589 0.440
Bi 3.902 2.624 2.695
Bi 3.902 -2.624 2.695
Pb -0.230 0.000 1.851
Pb 8.035 0.000 3.540

---

[16]
16
Lattice="6.049 0.000 0.000 0.000 6.990 0.000 -2.015 0.000 5.702" Properties=species:S:1:pos:R:3 comment="PmHo3N4 PBE-GGA optimized geometry" m_tot_mub_per_atom=0.000 mass_density_g_cm3=9.6 sg="P2/c, No. 13" relative_energy_mev_per_atom=0 formation_energy_uncorrected_ev_per_atom=-1.65 pbc="T T T"
Pm -0.504 0.887 1.425
Pm -1.511 6.103 4.276
Ho -1.511 2.630 4.276
Ho -0.504 4.360 1.425
Ho 1.513 0.894 4.276
Ho 2.521 2.629 1.425
Ho 1.513 4.361 4.276
Ho 2.521 6.096 1.425
N 0.508 2.643 2.879
N 1.516 4.347 0.028
N -0.453 0.915 5.692
N 0.554 6.075 2.841
N 3.480 0.915 2.860
N 4.487 6.075 0.009
N 2.519 2.643 5.674
N 3.526 4.347 2.823

---

[17]
10
Lattice="9.013 0.000 0.000 0.000 9.013 0.000 0.000 0.000 3.404" Properties=species:S:1:pos:R:3 comment="Ga2HgBi2 PBE-GGA optimized geometry" m_tot_mub_per_atom=0.000 mass_density_g_cm3=9.1 sg="P4/mbm, No. 127" ef_mev_per_atom=99 relative_energy_mev_per_atom=31 pbc="T T T"
Ga 1.213 3.294 0.000
Ga 3.294 7.800 0.000
Ga 5.719 1.213 0.000
Ga 7.800 5.719 0.000
Hg 0.000 0.000 1.702
Hg 4.506 4.506 1.702
Bi 1.458 5.964 1.702
Bi 3.049 1.458 1.702
Bi 5.964 7.555 1.702
Bi 7.555 3.049 1.702

---

[18]
10
Lattice="-2.242 3.169 11.209 2.242 -3.169 11.209 2.242 3.169 -11.209" Properties=species:S:1:pos:R:3 comment="TbY4Bi5 PBE-GGA optimized geometry" m_tot_mub_per_atom=0.000 mass_density_g_cm3=8.1 sg="Immm, No. 71" ef_mev_per_atom=-895 pbc="T T T"
Tb 0.000 0.000 0.000
Y 0.000 0.000 4.486
Y 0.000 0.000 8.967
Y 0.000 0.000 13.451
Y 0.000 0.000 17.932
Bi 2.242 0.000 2.246
Bi 2.242 0.000 6.727
Bi 0.000 3.169 0.000
Bi 0.000 3.169 4.483
Bi 0.000 3.169 8.963

---

[19]
11
Lattice="-3.001 4.479 5.481 3.001 -4.479 5.481 3.001 4.479 -5.481" Properties=species:S:1:pos:R:3 comment="Ca2In5Hg4 PBE-GGA optimized geometry" m_tot_mub_per_atom=0.000 mass_density_g_cm3=8.2 sg="Immm, No. 71" ef_mev_per_atom=-211 pbc="T T T"
Ca 0.000 0.000 1.941
Ca 0.000 0.000 9.021
In 3.001 0.000 0.000
In 1.504 2.917 0.000
In 1.496 -1.562 5.481
In 1.504 6.041 0.000
In 1.496 1.562 5.481
Hg 3.001 -1.508 2.681
Hg 3.001 1.508 2.681
Hg 0.000 2.971 2.800
Hg 0.000 5.987 2.800

---

[20]
4
Lattice="6.341 -1.751 0.000 6.341 1.751 0.000 -1.851 0.000 4.689" Properties=species:S:1:pos:R:3 comment="AlSb2Br PBE-GGA optimized geometry" m_tot_mub_per_atom=0.000 mass_density_g_cm3=5.6 sg="C2/m, No. 12" relative_energy_mev_per_atom=210 formation_energy_uncorrected_ev_per_atom=0.01 pbc="T T T"
Al 0.000 0.000 0.000
Sb 2.298 0.000 3.776
Sb 8.533 0.000 0.913
Br 5.416 0.000 2.345

---

[21]
4
Lattice="0.000 3.451 3.451 3.451 0.000 3.451 3.451 3.451 0.000" Properties=species:S:1:pos:R:3 comment="ErZrCuAg PBE-GGA optimized geometry" m_tot_mub_per_atom=0.276 mass_density_g_cm3=8.7 sg="F-43m, No. 216" ef_mev_per_atom=-87 pbc="T T T"
Er 0.000 0.000 0.000
Zr 3.451 3.451 3.451
Cu 1.725 1.725 1.725
Ag 5.176 5.176 5.176

---

[22]
12
Lattice="4.540 -4.888 0.000 4.540 4.888 0.000 -0.737 0.000 5.553" Properties=species:S:1:pos:R:3 comment="LiIn2Ag3 PBE-GGA optimized geometry" m_tot_mub_per_atom=0.000 mass_density_g_cm3=7.5 sg="C2/c, No. 15" ef_mev_per_atom=-53 relative_energy_mev_per_atom=0 pbc="T T T"
Li 3.987 4.299 4.165
Li 4.356 -4.299 1.388
In 2.860 2.530 1.526
In 5.852 2.530 1.250
In 2.491 -2.530 4.303
In 5.484 -2.530 4.027
Ag 1.780 0.080 5.548
Ag 2.148 -0.080 2.771
Ag 3.987 1.577 4.165
Ag 4.356 -1.577 1.388
Ag 6.195 0.080 2.782
Ag 6.564 -0.080 0.005

---

[23]
6
Lattice="4.909 0.000 0.000 -2.455 4.251 0.000 0.000 0.000 11.177" Properties=species:S:1:pos:R:3 comment="RbYSi PBE-GGA optimized geometry" m_tot_mub_per_atom=0.000 mass_density_g_cm3=2.9 sg="P6_3/mmc, No. 194" relative_energy_mev_per_atom=432 formation_energy_uncorrected_ev_per_atom=0.14 pbc="T T T"
Rb 0.000 0.000 0.000
Rb 0.000 0.000 5.588
Y 0.000 2.834 2.794
Y 2.455 1.417 8.383
Si 0.000 2.834 8.383
Si 2.455 1.417 2.794

---

[24]
4
Lattice="-1.935 1.935 3.874 1.935 -1.935 3.874 1.935 1.935 -3.874" Properties=species:S:1:pos:R:3 comment="TaCu2Mo PBE-GGA optimized geometry" m_tot_mub_per_atom=0.000 mass_density_g_cm3=11.6 sg="I4/mmm, No. 139" ef_mev_per_atom=151 relative_energy_mev_per_atom=43 pbc="T T T"
Ta 0.000 0.000 0.000
Cu 1.935 0.000 1.937
Cu 0.000 1.935 1.937
Mo 0.000 0.000 3.874